(1)
Computed, not measured: crystalline In3IBr at its relaxed geometry at the PBE-GGA level of DFT.

## Properties
Space group: Pm-3m, No. 221
Crystal system: cubic
Uncorrected formation energy, eV per atom: 0.117
Offset from the most stable computed form, meV per atom: 163

Cell: 6.435 6.435 6.435 Å, 90.00 90.00 90.00°
Atoms (fractional coordinates):
In 0.500 0.000 0.000
In 0.000 0.500 0.000
In 0.000 0.000 0.500
Br 0.500 0.500 0.500
I 0.000 0.000 0.000



(2)
Computed, not measured: crystalline Li2FeW at its relaxed geometry at the PBE-GGA level of DFT.

## Properties
Space group: Pmmm, No. 47
Crystal system: orthorhombic
ΔE_f, eV/atom: 0.38
Offset from the most stable computed form, meV per atom: 111

Cell: 2.873 3.949 4.695 Å, 90.00 90.00 90.00°
Atoms (fractional coordinates):
Li 0.500 0.500 0.000
Li 0.000 0.000 0.000
Fe 0.000 0.500 0.500
W 0.500 0.000 0.500



(3)
Computed, not measured: crystalline Ca2ZnCl at its relaxed geometry at the PBE-GGA level of DFT.

## Properties
Space group: C2/m, No. 12
Crystal system: monoclinic
Uncorrected formation energy, eV per atom: -0.740
Offset from the most stable computed form, meV per atom: 171

Cell: 8.458 5.451 3.437 Å, 90.20 65.74 130.26°
Atoms (fractional coordinates):
Cl 0.000 0.500 0.500
Ca 0.500 0.000 0.500
Ca 0.000 0.000 0.000
Zn 0.500 0.500 0.000



(4)
Computed, not measured: crystalline CeHo3Bi3 at its relaxed geometry at the PBE-GGA level of DFT.

## Properties
Space group: P6_3/m, No. 176
Crystal system: hexagonal
ΔE_f, eV/atom: -0.58

Cell: 5.809 9.232 9.232 Å, 120.00 90.00 90.00°
Site moments in Bohr magnetons follow the coordinates.
Atoms (fractional coordinates):
Ho 0.750 0.018 0.773  0.14
Ho 0.250 0.982 0.227  0.14
Ho 0.250 0.245 0.018  0.14
Ho 0.250 0.773 0.755  0.14
Ho 0.750 0.227 0.245  0.14
Ho 0.750 0.755 0.982  0.14
Bi 0.250 0.365 0.430  -0.03
Bi 0.250 0.065 0.635  -0.03
Bi 0.250 0.570 0.935  -0.03
Bi 0.750 0.935 0.365  -0.03
Bi 0.750 0.635 0.570  -0.03
Bi 0.750 0.430 0.065  -0.03
Ce 0.750 0.333 0.667  1.14
Ce 0.250 0.667 0.333  1.14



(5)
Computed, not measured: crystalline Mg2ZrSCl at its relaxed geometry at the PBE-GGA level of DFT.

## Properties
Space group: P4/mmm, No. 123
Crystal system: tetragonal
Uncorrected formation energy, eV per atom: 0.248

Cell: 4.819 4.886 4.819 Å, 90.00 90.00 90.00°
Atoms (fractional coordinates):
Mg 0.000 0.000 0.500
Mg 0.500 0.000 0.000
Zr 0.000 0.500 0.000
S 0.500 0.500 0.500
Cl 0.000 0.000 0.000



(6)
Computed, not measured: crystalline CaAc6Nd2 at its relaxed geometry at the PBE-GGA level of DFT.

## Properties
Space group: C2/m, No. 12
Crystal system: monoclinic
ΔE_f, eV/atom: 0.10

Cell: 6.524 6.817 10.184 Å, 70.44 81.21 62.84°
Atoms (fractional coordinates):
Ac 0.170 0.837 0.168
Ac 0.170 0.505 0.832
Ac 0.655 0.690 0.500
Ac 0.830 0.163 0.832
Ac 0.830 0.495 0.168
Ac 0.345 0.310 0.500
Ca 0.000 0.000 0.500
Nd 0.500 0.831 0.837
Nd 0.500 0.169 0.163